# 1
VASP calculation (PBE) on a relaxed structure of TbY3Tl4Se8.

Lattice parameters (Å, degrees): 8.388 9.158 8.388 117.28 120.00 90.00
Sites, in units of the cell vectors:
Tb 0.000 0.500 0.000
Y 0.500 0.500 0.000
Y 0.500 0.500 0.500
Y 0.000 0.500 0.500
Tl 0.500 0.000 0.000
Tl 0.500 0.000 0.500
Tl 0.000 0.000 0.000
Tl 0.000 0.000 0.500
Se 0.235 0.705 0.970
Se 0.235 0.705 0.471
Se 0.265 0.295 0.530
Se 0.734 0.705 0.970
Se 0.266 0.295 0.030
Se 0.735 0.705 0.470
Se 0.765 0.295 0.529
Se 0.765 0.295 0.030

Output
VASP energy   -83.68 eV per cell
Raw formation energy   -1.395 eV/atom

***

# 2
VASP calculation (PBE) on a relaxed structure of RbBa4Sn4.

Lattice parameters (Å, degrees): 7.073 11.172 11.172 90.00 90.00 90.00
Sites, in units of the cell vectors:
Rb 0.000 0.000 0.000
Rb 0.500 0.500 0.500
Ba 0.368 0.331 0.900
Ba 0.868 0.600 0.831
Ba 0.368 0.669 0.100
Ba 0.132 0.169 0.600
Ba 0.632 0.900 0.669
Ba 0.132 0.831 0.400
Ba 0.868 0.400 0.169
Ba 0.632 0.100 0.331
Sn 0.632 0.781 0.349
Sn 0.632 0.219 0.651
Sn 0.132 0.849 0.719
Sn 0.868 0.281 0.849
Sn 0.868 0.719 0.151
Sn 0.368 0.349 0.219
Sn 0.368 0.651 0.781
Sn 0.132 0.151 0.281

Output
VASP energy   -56.82 eV per cell
E_form   -416 meV per atom

***

> What is the formula in the first record?

TbY3Tl4Se8

***

> Among the records above, which one has the highest VASP energy?

RbBa4Sn4